i) Here is a relaxed structure of HoLu2Al from the Alexandria database. Energies are from PBE.

Structure (POSCAR):
```
HoLu2Al
1.0
3.463 0.000 0.000
0.000 3.463 0.000
0.000 0.000 8.797
Lu Al Ho
2 1 1
Cartesian
0.000 0.000 6.910 Lu
0.000 0.000 1.887 Lu
1.731 1.731 0.000 Al
1.731 1.731 4.399 Ho
```

Properties
- N(E_F) (states/eV/f.u.) = 3.65
- total moment (μB per formula unit) = 0.00

ii) Here is a relaxed structure of HoLu2Al from the Alexandria database. Energies are from PBE.

Structure (POSCAR):
```
HoLu2Al
1.0
5.264 0.000 0.000
2.632 4.558 0.000
2.632 1.519 4.298
Ho Al Lu
1 1 2
Cartesian
0.000 0.000 0.000 Ho
5.264 3.039 2.149 Al
2.632 1.519 1.074 Lu
7.895 4.558 3.223 Lu
```

Properties
- N(E_F) (states/eV/f.u.) = 5.29
- total moment (μB per formula unit) = 0.00

Result of the stability comparison: ii) is the least stable of them.

i) Here is a relaxed structure of HoLu2Al from the Alexandria database. Energies are from PBE.

Structure (POSCAR):
```
HoLu2Al
1.0
4.700 0.000 0.000
0.000 4.676 0.000
0.000 0.000 4.676
Lu Al Ho
2 1 1
Cartesian
0.000 0.000 2.338 Lu
0.000 2.338 0.000 Lu
2.350 0.000 0.000 Al
2.350 2.338 2.338 Ho
```

Properties
- N(E_F) (states/eV/f.u.) = 3.80
- total moment (μB per formula unit) = 0.00

ii) Here is a relaxed structure of HoLu2Al from the Alexandria database. Energies are from PBE.

Structure (POSCAR):
```
HoLu2Al
1.0
-2.581 1.805 -1.230
-3.182 -0.950 0.636
-1.944 6.645 9.186
Lu Al Ho
2 1 1
Cartesian
-5.770 2.752 2.206 Lu
-1.937 4.748 6.388 Lu
-3.854 3.750 4.297 Al
0.000 0.000 0.000 Ho
```

Properties
- N(E_F) (states/eV/f.u.) = 5.18
- total moment (μB per formula unit) = 0.77

Result of the stability comparison: ii) is the least stable of them.

i) Here is a relaxed structure of Ho2LuAl from the Alexandria database. Energies are from PBE.

Structure (POSCAR):
```
Ho2LuAl
1.0
-2.217 -0.112 -4.801
3.043 -0.380 -4.310
0.036 -4.471 -2.826
Lu Ho Al
1 2 1
Cartesian
0.000 0.000 0.000 Lu
0.216 -1.241 -2.984 Ho
0.647 -3.722 -8.952 Ho
0.431 -2.482 -5.968 Al
```

Properties
- N(E_F) (states/eV/f.u.) = 5.11
- total moment (μB per formula unit) = 0.00

ii) Here is a relaxed structure of Ho2LuAl from the Alexandria database. Energies are from PBE.

Structure (POSCAR):
```
Ho2LuAl
1.0
4.689 0.000 0.000
0.000 4.721 0.000
0.000 0.000 4.721
Ho Lu Al
2 1 1
Cartesian
0.000 0.000 2.360 Ho
0.000 2.360 0.000 Ho
2.344 2.360 2.360 Lu
2.344 0.000 0.000 Al
```

Properties
- N(E_F) (states/eV/f.u.) = 4.30
- total moment (μB per formula unit) = 0.00

iii) Here is a relaxed structure of Ho2LuAl from the Alexandria database. Energies are from PBE.

Structure (POSCAR):
```
Ho2LuAl
1.0
3.473 0.000 0.000
0.000 3.473 0.000
0.000 0.000 8.964
Ho Lu Al
2 1 1
Cartesian
0.000 0.000 7.021 Ho
0.000 0.000 1.944 Ho
1.736 1.736 4.482 Lu
1.736 1.736 0.000 Al
```

Properties
- N(E_F) (states/eV/f.u.) = 4.34
- total moment (μB per formula unit) = 0.00

Result of the stability comparison: i) is the least stable of them.